DFT (PBE-GGA) results for a relaxed structure of Sm6ErIn6.

Cell lengths 6.3520, 6.3520, 10.9389 Å; angles 90.00, 90.00, 120.00 degrees
Element x y z (fractional)
Sm 0.0000 0.0000 0.1679
Sm 0.0000 0.0000 0.8321
Sm 0.3333 0.6667 0.0000
Sm 0.3333 0.6667 0.5000
Sm 0.6667 0.3333 0.0000
Sm 0.6667 0.3333 0.5000
Er 0.0000 0.0000 0.5000
In 0.0000 0.5000 0.2536
In 0.0000 0.5000 0.7464
In 0.5000 0.0000 0.2536
In 0.5000 0.0000 0.7464
In 0.5000 0.5000 0.2536
In 0.5000 0.5000 0.7464

Calculated values
Final energy ... -4.11 eV/atom

***

DFT (PBE-GGA) results for a relaxed structure of Sm6ErIn2.

Cell lengths 6.7568, 6.7568, 12.0020 Å; angles 107.31, 107.31, 32.72 degrees
Element x y z (fractional)
Sm 0.0174 0.0174 0.3399
Sm 0.3079 0.3079 0.4106
Sm 0.3180 0.3180 0.1227
Sm 0.6820 0.6820 0.8773
Sm 0.6921 0.6921 0.5894
Sm 0.9826 0.9826 0.6601
Er 0.0000 0.0000 0.0000
In 0.3592 0.3592 0.8023
In 0.6408 0.6408 0.1977

Calculated values
Final energy ... -4.46 eV/atom

***

DFT (PBE-GGA) results for a relaxed structure of SmEr6In4.

Cell lengths 10.0249, 10.0249, 3.6935 Å; angles 90.00, 90.00, 120.00 degrees
Element x y z (fractional)
Sm 0.0000 0.0000 0.0000
Er 0.1904 0.3807 0.5000
Er 0.1904 0.8096 0.5000
Er 0.5369 0.0738 0.0000
Er 0.5369 0.4631 0.0000
Er 0.6193 0.8096 0.5000
Er 0.9262 0.4631 0.0000
In 0.3264 0.1632 0.5000
In 0.3333 0.6667 0.0000
In 0.8368 0.1632 0.5000
In 0.8368 0.6736 0.5000

Calculated values
Final energy ... -4.20 eV/atom

***

DFT (PBE-GGA) results for a relaxed structure of Sm4Er5In2.

Cell lengths 12.4825, 12.4825, 8.0545 Å; angles 92.09, 92.09, 16.01 degrees
Element x y z (fractional)
Sm 0.0466 0.0466 0.1664
Sm 0.0903 0.0903 0.7582
Sm 0.9097 0.9097 0.2418
Sm 0.9534 0.9534 0.8336
Er 0.1734 0.1734 0.4083
Er 0.2237 0.2237 0.8153
Er 0.5000 0.5000 0.5000
Er 0.7763 0.7763 0.1847
Er 0.8266 0.8266 0.5917
In 0.3456 0.3456 0.9288
In 0.6544 0.6544 0.0712

Calculated values
Final energy ... -4.25 eV/atom

***

DFT (PBE-GGA) results for a relaxed structure of SmEr3In4.

Cell lengths 10.7418, 7.1924, 5.4844 Å; angles 90.00, 90.00, 90.00 degrees
Element x y z (fractional)
Sm 0.0000 0.0000 0.0000
Sm 0.5000 0.0000 0.0000
Er 0.0000 0.5000 0.0000
Er 0.2500 0.0000 0.4290
Er 0.2500 0.5000 0.4192
Er 0.5000 0.5000 0.0000
Er 0.7500 0.0000 0.5710
Er 0.7500 0.5000 0.5808
In 0.0000 0.2564 0.5000
In 0.0000 0.7436 0.5000
In 0.2500 0.2560 0.9142
In 0.2500 0.7440 0.9142
In 0.5000 0.2564 0.5000
In 0.5000 0.7436 0.5000
In 0.7500 0.2560 0.0858
In 0.7500 0.7440 0.0858

Calculated values
Final energy ... -4.12 eV/atom

***

DFT (PBE-GGA) results for a relaxed structure of SmEr5In4.

Cell lengths 3.5425, 3.5425, 21.7236 Å; angles 90.00, 90.00, 90.00 degrees
Element x y z (fractional)
Sm 0.0000 0.0000 0.0000
Er 0.5000 0.5000 0.1167
Er 0.5000 0.5000 0.3079
Er 0.5000 0.5000 0.5000
Er 0.5000 0.5000 0.6921
Er 0.5000 0.5000 0.8833
In 0.0000 0.0000 0.2122
In 0.0000 0.0000 0.4040
In 0.0000 0.0000 0.5960
In 0.0000 0.0000 0.7878

Calculated values
Final energy ... -4.21 eV/atom

***

DFT (PBE-GGA) results for a relaxed structure of SmEr3In3.

Cell lengths 9.2906, 9.2906, 9.2906 Å; angles 90.00, 90.00, 90.00 degrees
Element x y z (fractional)
Sm 0.0504 0.4496 0.5504
Sm 0.4496 0.5504 0.0504
Sm 0.5504 0.0504 0.4496
Sm 0.9496 0.9496 0.9496
Er 0.1155 0.6155 0.8845
Er 0.1682 0.1682 0.1682
Er 0.1989 0.8011 0.3011
Er 0.3011 0.1989 0.8011
Er 0.3318 0.8318 0.6682
Er 0.3845 0.3845 0.3845
Er 0.6155 0.8845 0.1155
Er 0.6682 0.3318 0.8318
Er 0.6989 0.6989 0.6989
Er 0.8011 0.3011 0.1989
Er 0.8318 0.6682 0.3318
Er 0.8845 0.1155 0.6155
In 0.0057 0.7976 0.6012
In 0.1012 0.4943 0.2024
In 0.2024 0.1012 0.4943
In 0.2976 0.8988 0.9943
In 0.3988 0.5057 0.7024
In 0.4943 0.2024 0.1012
In 0.5057 0.7024 0.3988
In 0.6012 0.0057 0.7976
In 0.7024 0.3988 0.5057
In 0.7976 0.6012 0.0057
In 0.8988 0.9943 0.2976
In 0.9943 0.2976 0.8988

Calculated values
Final energy ... -4.11 eV/atom

***

DFT (PBE-GGA) results for a relaxed structure of SmEr6In5.

Cell lengths 9.0225, 9.0225, 9.0225 Å; angles 148.11, 122.12, 67.62 degrees
Element x y z (fractional)
Sm 0.0000 0.0000 0.0000
Er 0.0944 0.8303 0.2641
Er 0.2741 0.5000 0.7741
Er 0.4338 0.1697 0.2641
Er 0.5662 0.8303 0.7359
Er 0.7259 0.5000 0.2259
Er 0.9056 0.1697 0.7359
In 0.1527 0.6527 0.5000
In 0.3214 0.3214 0.0000
In 0.5000 0.0000 0.5000
In 0.6786 0.6786 0.0000
In 0.8473 0.3473 0.5000

Calculated values
Final energy ... -4.18 eV/atom

***

DFT (PBE-GGA) results for a relaxed structure of SmEr8In2.

Cell lengths 9.9540, 9.9540, 5.2922 Å; angles 92.88, 92.88, 39.87 degrees
Element x y z (fractional)
Sm 0.0000 0.0000 0.0000
Er 0.1262 0.6058 0.2684
Er 0.1979 0.1979 0.2358
Er 0.3942 0.8738 0.7316
Er 0.4527 0.4527 0.7603
Er 0.5473 0.5473 0.2397
Er 0.6058 0.1262 0.2684
Er 0.8021 0.8021 0.7642
Er 0.8738 0.3942 0.7316
In 0.2870 0.2870 0.7547
In 0.7130 0.7130 0.2453

Calculated values
Final energy ... -4.29 eV/atom

***

DFT (PBE-GGA) results for a relaxed structure of Sm3Er2In7.

Cell lengths 15.0715, 15.0715, 4.8314 Å; angles 90.00, 90.00, 161.53 degrees
Element x y z (fractional)
Sm 0.0000 0.0000 0.0000
Sm 0.1502 0.8498 0.0000
Sm 0.8498 0.1502 0.0000
Er 0.3431 0.6569 0.5000
Er 0.6569 0.3431 0.5000
In 0.0780 0.9220 0.5000
In 0.2263 0.7737 0.5000
In 0.4212 0.5788 0.0000
In 0.5000 0.5000 0.5000
In 0.5788 0.4212 0.0000
In 0.7737 0.2263 0.5000
In 0.9220 0.0780 0.5000

Calculated values
Final energy ... -3.78 eV/atom

***

DFT (PBE-GGA) results for a relaxed structure of Sm2ErIn.

Cell lengths 3.6433, 3.6433, 32.7722 Å; angles 90.00, 90.00, 120.00 degrees
Element x y z (fractional)
Sm 0.0000 0.0000 0.0000
Sm 0.0000 0.0000 0.1755
Sm 0.3333 0.6667 0.6667
Sm 0.3333 0.6667 0.8422
Sm 0.6667 0.3333 0.3333
Sm 0.6667 0.3333 0.5089
Er 0.0000 0.0000 0.7544
Er 0.3333 0.6667 0.4210
Er 0.6667 0.3333 0.0877
In 0.0000 0.0000 0.5881
In 0.3333 0.6667 0.2547
In 0.6667 0.3333 0.9214

Calculated values
Final energy ... -4.31 eV/atom

***

DFT (PBE-GGA) results for a relaxed structure of SmErInSn.

Cell lengths 7.5851, 7.5851, 7.5851 Å; angles 90.00, 90.00, 90.00 degrees
Element x y z (fractional)
Sm 0.0000 0.0000 0.0000
Sm 0.0000 0.5000 0.5000
Sm 0.5000 0.0000 0.5000
Sm 0.5000 0.5000 0.0000
Er 0.0000 0.0000 0.5000
Er 0.0000 0.5000 0.0000
Er 0.5000 0.0000 0.0000
Er 0.5000 0.5000 0.5000
In 0.2500 0.2500 0.2500
In 0.2500 0.7500 0.7500
In 0.7500 0.2500 0.7500
In 0.7500 0.7500 0.2500
Sn 0.2500 0.2500 0.7500
Sn 0.2500 0.7500 0.2500
Sn 0.7500 0.2500 0.2500
Sn 0.7500 0.7500 0.7500

Calculated values
Final energy ... -4.51 eV/atom

***

DFT (PBE-GGA) results for a relaxed structure of TbSm2Er5In.

Cell lengths 10.4383, 10.4383, 10.4377 Å; angles 90.00, 90.00, 150.45 degrees
Element x y z (fractional)
Tb 0.2090 0.7910 0.7500
Tb 0.7910 0.2090 0.2500
Sm 0.1164 0.8836 0.0395
Sm 0.1164 0.8836 0.4605
Sm 0.8836 0.1164 0.5395
Sm 0.8836 0.1164 0.9605
Er 0.0107 0.9893 0.7500
Er 0.2889 0.7111 0.0519
Er 0.2889 0.7111 0.4481
Er 0.3843 0.6157 0.7500
Er 0.5000 0.5000 0.0000
Er 0.5000 0.5000 0.5000
Er 0.6157 0.3843 0.2500
Er 0.7111 0.2889 0.5519
Er 0.7111 0.2889 0.9481
Er 0.9893 0.0107 0.2500
In 0.4043 0.5957 0.2500
In 0.5957 0.4043 0.7500

Calculated values
Final energy ... -4.41 eV/atom

***

DFT (PBE-GGA) results for a relaxed structure of Tb3Sm6Er2In.

Cell lengths 6.1732, 6.1732, 11.7174 Å; angles 95.09, 95.09, 120.13 degrees
Element x y z (fractional)
Tb 0.0000 0.0000 0.0000
Tb 0.3323 0.6677 0.0000
Tb 0.6677 0.3323 0.0000
Sm 0.0907 0.4187 0.2542
Sm 0.2539 0.2539 0.7475
Sm 0.4187 0.0907 0.2542
Sm 0.5813 0.9093 0.7458
Sm 0.7461 0.7461 0.2525
Sm 0.9093 0.5813 0.7458
Er 0.1660 0.8340 0.5000
Er 0.8340 0.1660 0.5000
In 0.5000 0.5000 0.5000

Calculated values
Final energy ... -4.54 eV/atom

***

DFT (PBE-GGA) results for a relaxed structure of Tb6Sm2Er3In.

Cell lengths 6.0938, 6.0938, 11.6887 Å; angles 94.99, 94.99, 120.04 degrees
Element x y z (fractional)
Tb 0.0833 0.4108 0.7502
Tb 0.2439 0.2439 0.2489
Tb 0.4108 0.0833 0.7502
Tb 0.5892 0.9167 0.2498
Tb 0.7561 0.7561 0.7511
Tb 0.9167 0.5892 0.2498
Sm 0.3338 0.6662 0.5000
Sm 0.6662 0.3338 0.5000
Er 0.1669 0.8331 0.0000
Er 0.5000 0.5000 0.0000
Er 0.8331 0.1669 0.0000
In 0.0000 0.0000 0.5000

Calculated values
Final energy ... -4.52 eV/atom

***

DFT (PBE-GGA) results for a relaxed structure of Tb2SmErIn2.

Cell lengths 5.2237, 9.8548, 6.7474 Å; angles 90.00, 90.00, 90.00 degrees
Element x y z (fractional)
Tb 0.0000 0.0397 0.0000
Tb 0.0000 0.9603 0.5000
Tb 0.5000 0.1791 0.2816
Tb 0.5000 0.8209 0.7816
Sm 0.5000 0.4624 0.9296
Sm 0.5000 0.5376 0.4296
Er 0.0000 0.3161 0.6513
Er 0.0000 0.6839 0.1513
In 0.0000 0.3584 0.1810
In 0.0000 0.6416 0.6810
In 0.5000 0.1435 0.7542
In 0.5000 0.8565 0.2542

Calculated values
Final energy ... -4.36 eV/atom

***

DFT (PBE-GGA) results for a relaxed structure of TbSmEr2In4.

Cell lengths 9.2400, 9.2400, 9.2400 Å; angles 33.49, 33.49, 33.49 degrees
Element x y z (fractional)
Tb 0.0000 0.0000 0.0000
Sm 0.5000 0.5000 0.5000
Er 0.2501 0.2501 0.2501
Er 0.7499 0.7499 0.7499
In 0.1243 0.1243 0.1243
In 0.3743 0.3743 0.3743
In 0.6257 0.6257 0.6257
In 0.8757 0.8757 0.8757

Calculated values
Final energy ... -4.14 eV/atom

***

DFT (PBE-GGA) results for a relaxed structure of SmEr3In4Te8.

Cell lengths 9.5780, 9.5780, 9.5780 Å; angles 54.82, 54.82, 54.82 degrees
Element x y z (fractional)
Sm 0.0000 0.0000 0.0000
Er 0.0000 0.5000 0.5000
Er 0.5000 0.0000 0.5000
Er 0.5000 0.5000 0.0000
In 0.0000 0.0000 0.5000
In 0.0000 0.5000 0.0000
In 0.5000 0.0000 0.0000
In 0.5000 0.5000 0.5000
Te 0.2428 0.2428 0.7338
Te 0.2428 0.7338 0.2428
Te 0.2614 0.2614 0.2614
Te 0.2662 0.7572 0.7572
Te 0.7338 0.2428 0.2428
Te 0.7386 0.7386 0.7386
Te 0.7572 0.2662 0.7572
Te 0.7572 0.7572 0.2662

Calculated values
E_form (uncorrected) ... -961 meV per atom
Final energy ... -4.37 eV/atom

***

DFT (PBE-GGA) results for a relaxed structure of Sm2ErIn3Te6.

Cell lengths 7.7074, 7.7074, 8.5086 Å; angles 98.69, 98.69, 119.99 degrees
Element x y z (fractional)
Sm 0.1663 0.8337 0.0000
Sm 0.8337 0.1663 0.0000
Er 0.5000 0.5000 0.0000
In 0.0000 0.0000 0.5000
In 0.3313 0.6687 0.5000
In 0.6687 0.3313 0.5000
Te 0.0998 0.4265 0.7791
Te 0.2478 0.2478 0.2230
Te 0.4265 0.0998 0.7791
Te 0.5735 0.9002 0.2209
Te 0.7522 0.7522 0.7770
Te 0.9002 0.5735 0.2209

Calculated values
E_form (uncorrected) ... -975 meV per atom
Final energy ... -4.40 eV/atom

***

DFT (PBE-GGA) results for a relaxed structure of SmErIn2Te4.

Cell lengths 7.6800, 4.4332, 8.5008 Å; angles 90.00, 107.50, 90.00 degrees
Element x y z (fractional)
Sm 0.0000 0.0000 0.0000
Er 0.5000 0.5000 0.0000
In 0.0000 0.5000 0.5000
In 0.5000 0.0000 0.5000
Te 0.2471 0.5000 0.2225
Te 0.2667 0.0000 0.7814
Te 0.7333 0.0000 0.2186
Te 0.7529 0.5000 0.7775

Calculated values
E_form (uncorrected) ... -969 meV per atom
Final energy ... -4.38 eV/atom

***

DFT (PBE-GGA) results for a relaxed structure of SmErTiIn.

Cell lengths 7.4681, 7.4681, 7.4681 Å; angles 90.00, 90.00, 90.00 degrees
Element x y z (fractional)
Sm 0.0000 0.0000 0.0000
Sm 0.0000 0.5000 0.5000
Sm 0.5000 0.0000 0.5000
Sm 0.5000 0.5000 0.0000
Er 0.0000 0.0000 0.5000
Er 0.0000 0.5000 0.0000
Er 0.5000 0.0000 0.0000
Er 0.5000 0.5000 0.5000
Ti 0.2500 0.2500 0.2500
Ti 0.2500 0.7500 0.7500
Ti 0.7500 0.2500 0.7500
Ti 0.7500 0.7500 0.2500
In 0.2500 0.2500 0.7500
In 0.2500 0.7500 0.2500
In 0.7500 0.2500 0.2500
In 0.7500 0.7500 0.7500

Calculated values
Final energy ... -5.06 eV/atom

***

| no. | density (g/cm3) |
| --- | --- |
| 1 | 7.64 |
| 2 | 7.66 |
| 3 | 8.33 |
| 4 | 8.01 |
| 5 | 8.71 |
| 6 | 8.81 |
| 7 | 8.25 |
| 8 | 8.84 |
| 9 | 8.50 |
| 10 | 7.59 |
| 11 | 7.71 |
| 12 | 8.39 |
| 13 | 8.35 |
| 14 | 7.99 |
| 15 | 8.40 |
| 16 | 8.27 |
| 17 | 8.56 |
| 18 | 6.48 |
| 19 | 6.28 |
| 20 | 6.36 |
| 21 | 7.66 |